1.
Material: Ba4SnSbH
Method: DFT, PBE
State: relaxed

Values from the calculation:
ρ = 4.9 Mg/m³
total magnetization = 0.000 μB/cell
total energy = -3.45 eV per atom

a b c (Å): 7.5443 7.5169 10.2204
angles (deg): 90.00 111.66 90.00
With the nearest neighbours (Å) after each atom.
Fractional positions:
1 Ba 0.0000 0.0000 0.5000  2 H 2.70
2 Ba 0.5000 0.5000 0.5000  2 H 2.70
3 Ba 0.5000 0.0000 0.5000  2 H 2.70
4 Ba 0.0714 0.7500 0.1429  1 H 2.93
5 Ba 0.4351 0.7500 0.8703  3 Sn 3.50-3.90, 2 Sb 3.90
6 Ba 0.5649 0.2500 0.1297  3 Sn 3.50-3.90, 2 Sb 3.90
7 Ba 0.9286 0.2500 0.8571  1 H 2.93
8 Ba 0.0000 0.5000 0.5000  2 H 2.70
9 Sb 0.1171 0.2500 0.2342  9 Ba 3.58-3.90
10 Sb 0.8829 0.7500 0.7658  9 Ba 3.58-3.90
11 H 0.7742 0.2500 0.5484  5 Ba 2.70-2.93
12 H 0.2258 0.7500 0.4516  5 Ba 2.70-2.93
13 Sn 0.3805 0.2500 0.7609  9 Ba 3.50-3.90
14 Sn 0.6195 0.7500 0.2391  9 Ba 3.50-3.90

***

2.
Material: BaSr2SbH
Method: DFT, PBE
State: relaxed

Values from the calculation:
ρ = 4.7 Mg/m³
total magnetization = 0.002 μB/cell
total energy = -3.04 eV per atom

a b c (Å): 5.3685 5.3685 5.3239
angles (deg): 90.00 90.00 90.00
With the nearest neighbours (Å) after each atom.
Fractional positions:
1 Sr 0.0000 0.5000 0.0000  2 H 2.68
2 Sr 0.5000 0.0000 0.0000  2 H 2.68
3 H 0.0000 0.0000 0.0000  2 Ba 2.66, 4 Sr 2.68
4 Sb 0.5000 0.5000 0.5000  8 Sr 3.78, 4 Ba 3.80
5 Ba 0.0000 0.0000 0.5000  2 H 2.66

***

3.
Material: BaSrSbH
Method: DFT, PBE
State: relaxed

Values from the calculation:
ρ = 4.1 Mg/m³
energy above the most stable polymorph in this dataset = 0.000 eV per atom
total magnetization = 0.000 μB/cell
total energy = -3.54 eV per atom

a b c (Å): 5.4754 5.4754 10.7494
angles (deg): 90.00 90.00 120.00
With the nearest neighbours (Å) after each atom.
Fractional positions:
1 Sr 0.0000 0.0000 0.1866  1 H 2.53
2 Sr 0.0000 0.0000 0.6866  1 H 2.53
3 H 0.0000 0.0000 0.9510  1 Sr 2.53
4 H 0.0000 0.0000 0.4510  1 Sr 2.53
5 Sb 0.6667 0.3333 0.7515  3 Sr 3.24, 1 Ba 3.53
6 Sb 0.3333 0.6667 0.2515  3 Sr 3.24, 1 Ba 3.53
7 Ba 0.6667 0.3333 0.4233  3 H 3.18, 1 Sb 3.53
8 Ba 0.3333 0.6667 0.9233  3 H 3.18, 1 Sb 3.53

***

4.
Material: Ba4Sr2Sb3H2
Method: DFT, PBE
State: relaxed

Values from the calculation:
ρ = 4.7 Mg/m³
total magnetization = 0.000 μB/cell
total energy = -3.54 eV per atom

a b c (Å): 5.3434 5.3434 14.1300
angles (deg): 100.90 100.90 90.00
With the nearest neighbours (Å) after each atom.
Fractional positions:
1 Sr 0.7030 0.7030 0.4059  1 H 2.64
2 Sr 0.2970 0.2970 0.5941  1 H 2.64
3 Sb 0.8240 0.8240 0.6481  1 Sr 3.30, 4 Ba 3.67
4 Sb 0.0000 0.0000 0.0000  8 Ba 3.51
5 Sb 0.1760 0.1760 0.3519  1 Sr 3.30, 4 Ba 3.67
6 Ba 0.5835 0.0835 0.1670  2 H 2.74
7 Ba 0.4165 0.9165 0.8330  2 H 2.74
8 Ba 0.9165 0.4165 0.8330  2 H 2.74
9 Ba 0.0835 0.5835 0.1670  2 H 2.74
10 H 0.3940 0.3940 0.7880  1 Sr 2.64, 4 Ba 2.74
11 H 0.6060 0.6060 0.2120  1 Sr 2.64, 4 Ba 2.74

***

Question: Among the records above, which one has the highest total energy?
Answer: BaSr2SbH